VASP calculation (GGA-PBE) on crystalline Ba3Br at its relaxed geometry.

The structure in extended XYZ format:
```
8
Lattice="1.3314 6.8582 4.2802 -6.7809 -4.4038 1.3240 3.4719 -3.8271 5.0522" Properties=species:S:1:pos:R:3 pbc="T T T"
Ba -2.5524 1.8210 5.7178
Ba 0.1848 0.5882 2.9029
Ba 0.8535 4.0329 5.0528
Ba 0.5748 -3.1937 4.9386
Ba -2.1623 -1.9610 7.7534
Ba -2.8311 -5.4057 5.6036
Br -3.2088 -1.6066 3.5724
Br 1.2313 0.2339 7.0839
```

Values from the calculation:
The value obtained for the uncorrected formation energy is -0.33 eV/atom. For the polymorph energy (0 for the lowest one), the calculation gives 0.424 eV/atom.